7
Lattice="4.783 0.194 0.000 0.119 4.785 0.000 -2.451 -2.489 3.494" Properties=species:S:1:pos:R:3 comment="PBE with a Hubbard U Mn2BeO4, optimized geometry" energy_ev_per_atom=-7.246 vol_a3_per_atom=11.4 pbc="T T T"
O 3.112 1.838 2.135
O 0.292 1.619 0.000
O 3.287 4.662 0.000
O 0.661 -0.651 1.359
Mn 2.391 0.097 1.747
Mn 0.060 2.392 1.747
Be 4.782 0.194 0.000